Entry 1:
A plane-wave DFT calculation with PBE was carried out for PaBi2Ir after structural relaxation.

Calculated values
magnetization	0.008	μB/cell
total DFT energy (no corrections)	-24.5	eV/cell
SG	R-3m

Cell: 3.3818 3.3818 10.6679 Å, 80.88 80.88 60.00°
Element x y z (fractional)
Ir 0.5000 0.5000 0.5000
Pa 0.0000 0.0000 0.0000
Bi 0.1024 0.1024 0.6927
Bi 0.8976 0.8976 0.3073


Entry 2:
A plane-wave DFT calculation with PBE was carried out for Pa2BiIr after structural relaxation.

Calculated values
magnetization	1.061	μB/cell
energy relative to the lowest polymorph listed for this composition	0.101	eV/atom
total DFT energy (no corrections)	-33.3	eV/cell
SG	P4/mmm

Cell: 3.3794 3.3794 8.4752 Å, 90.00 90.00 90.00°
Last column: magnetic moment on the atom in μB.
Element x y z (fractional)
Pa 0.0000 0.0000 0.7922  0.47
Ir 0.5000 0.5000 0.0000  -0.06
Pa 0.0000 0.0000 0.2078  0.47
Bi 0.5000 0.5000 0.5000  -0.02


Entry 3:
A plane-wave DFT calculation with PBE was carried out for PaBiIr after structural relaxation.

Calculated values
magnetization	0.000	μB/cell
total DFT energy (no corrections)	-46.7	eV/cell
SG	Cm

Cell: 4.3506 6.1184 6.3560 Å, 75.35 69.99 69.17°
Element x y z (fractional)
Pa 0.0042 0.4522 0.5394
Bi 0.7708 0.3319 0.1266
Pa 0.5772 0.9550 0.8907
Ir 0.3400 0.4909 0.8291
Ir 0.0186 0.8158 0.1470
Bi 0.3126 0.8942 0.4807


Entry 4:
A plane-wave DFT calculation with PBE was carried out for Pa2BiIr after structural relaxation.

Calculated values
magnetization	0.001	μB/cell
energy relative to the lowest polymorph listed for this composition	0.071	eV/atom
total DFT energy (no corrections)	-33.5	eV/cell
SG	R3m

Cell: 4.0652 4.0652 8.0211 Å, 75.32 75.32 60.00°
Element x y z (fractional)
Bi 0.4990 0.4990 0.5029
Pa 0.0665 0.0665 0.8004
Pa 0.2665 0.2665 0.2006
Ir 0.6679 0.6679 0.9962


Entry 5:
A plane-wave DFT calculation with PBE was carried out for ThPaBiIr after structural relaxation.

Calculated values
magnetization	0.000	μB/cell
total DFT energy (no corrections)	-32.0	eV/cell
SG	R3m

Cell: 4.1306 4.1318 8.1146 Å, 90.01 104.74 119.99°
Element x y z (fractional)
Pa 0.1036 0.9496 0.0686
Bi 0.9609 0.3787 0.3546
Th 0.4998 0.1479 0.6629
Ir 0.3136 0.5546 0.8836


Entry 6:
A plane-wave DFT calculation with PBE was carried out for Bi2IrPb after structural relaxation.

Calculated values
magnetization	0.000	μB/cell
total DFT energy (no corrections)	-37.7	eV/cell
SG	I-42d

Cell: 6.6328 6.6328 8.1007 Å, 65.83 65.83 90.00°
Element x y z (fractional)
Bi 0.5611 0.1250 0.2500
Bi 0.8750 0.8111 0.7500
Bi 0.3750 0.4389 0.7500
Bi 0.1889 0.6250 0.2500
Pb 0.7500 0.2500 0.5000
Ir 0.5000 0.5000 0.0000
Ir 0.2500 0.7500 0.5000
Pb 0.0000 0.0000 0.0000